Entry 1:
DFT (PBE-GGA) results for a relaxed PaMnCuRu crystal.

DFT total energy: -32.147 eV per cell
Formation energy from the elements: -0.03 eV/atom

Geometry as POSCAR:
```
PaMnCuRu
1.0
-2.0782 -3.1423 -2.4484
1.9323 -4.0090 -0.6176
-1.7011 -3.6458 2.0004
Cu Pa Ru Mn
1 1 1 1
direct
0.0000 0.0000 0.0000 Cu
0.5000 0.5000 0.5000 Pa
0.7500 0.7500 0.7500 Ru
0.2500 0.2500 0.2500 Mn
```



Entry 2:
DFT (PBE-GGA) results for a relaxed KB3Cl crystal.

DFT total energy: -11.403 eV per cell
Formation energy (no corrections): 2.315 eV/atom

Geometry as POSCAR:
```
KB3Cl
1.0
4.7659 0.0000 0.0000
0.0000 4.7659 0.0000
0.0000 0.0000 4.7659
B K Cl
3 1 1
direct
0.0000 0.5000 0.0000 B
0.5000 0.0000 0.0000 B
0.0000 0.0000 0.5000 B
0.5000 0.5000 0.5000 K
0.0000 0.0000 0.0000 Cl
```



Entry 3:
DFT (PBE-GGA) results for a relaxed Ac6AgHg5 crystal.

DFT total energy: -34.328 eV per cell
Formation energy from the elements: -0.44 eV/atom

Geometry as POSCAR:
```
Ac6AgHg5
1.0
5.4861 -0.0037 -1.5371
-4.1021 7.9669 -4.1078
-0.2143 -1.1356 9.7897
Ac Hg Ag
6 5 1
direct
0.2475 0.4126 0.0827 Ac
0.7458 0.2459 0.2459 Ac
0.7525 0.9173 0.5874 Ac
0.2542 0.7541 0.7541 Ac
0.2475 0.0827 0.4126 Ac
0.7525 0.5874 0.9173 Ac
0.5000 0.8313 0.1687 Hg
0.5000 0.5000 0.5000 Hg
0.5000 0.1687 0.8313 Hg
0.0000 0.6663 0.3337 Hg
0.0000 0.3337 0.6663 Hg
0.0000 0.0000 0.0000 Ag
```



Entry 4:
DFT (PBE-GGA) results for a relaxed TbPr5Tl2 crystal.

DFT total energy: -34.162 eV per cell
Formation energy from the elements: -0.11 eV/atom

Geometry as POSCAR:
```
TbPr5Tl2
1.0
3.7347 0.0000 0.0000
1.8674 8.3841 -0.7925
1.8674 1.7667 8.2341
Pr Tb Tl
5 1 2
direct
0.3612 0.4178 0.8598 Pr
0.6388 0.1402 0.5822 Pr
0.6388 0.5822 0.1402 Pr
0.3612 0.8598 0.4178 Pr
0.0000 0.5000 0.5000 Pr
0.0000 0.0000 0.0000 Tb
0.2781 0.2219 0.2219 Tl
0.7219 0.7781 0.7781 Tl
```



Entry 5:
DFT (PBE-GGA) results for a relaxed Ti2MnNb crystal.

DFT total energy: -34.898 eV per cell
Formation energy from the elements: 0.03 eV/atom

Geometry as POSCAR:
```
Ti2MnNb
1.0
-0.5476 2.1466 2.1984
-3.3425 -2.5173 1.6254
2.8911 -2.0693 2.7406
Nb Mn Ti
1 1 2
direct
0.5000 0.5000 0.5000 Nb
0.5000 0.0000 0.0000 Mn
0.0000 0.5000 0.0000 Ti
0.0000 0.0000 0.5000 Ti
```



Entry 6:
DFT (PBE-GGA) results for a relaxed CePr8Ga6 crystal.

DFT total energy: -67.377 eV per cell
Formation energy from the elements: -0.34 eV/atom

Geometry as POSCAR:
```
CePr8Ga6
1.0
8.9253 0.0000 0.0000
4.4627 7.7296 0.0000
4.4627 2.5765 6.3800
Ga Pr Ce
6 8 1
direct
0.9448 0.2769 0.1653 Ga
0.2769 0.6130 0.1653 Ga
0.7231 0.3870 0.8347 Ga
0.3870 0.0552 0.8347 Ga
0.6130 0.9448 0.1653 Ga
0.0552 0.7231 0.8347 Ga
0.1162 0.4425 0.6578 Pr
0.8838 0.5575 0.3422 Pr
0.4425 0.7835 0.6578 Pr
0.6679 0.6679 0.9964 Pr
0.5575 0.2165 0.3422 Pr
0.2165 0.8838 0.3422 Pr
0.7835 0.1162 0.6578 Pr
0.3321 0.3321 0.0036 Pr
0.0000 0.0000 0.0000 Ce
```



Entry 7:
DFT (PBE-GGA) results for a relaxed HfZnCr2 crystal.

DFT total energy: -54.793 eV per cell
Formation energy from the elements: 0.77 eV/atom

Geometry as POSCAR:
```
HfZnCr2
1.0
7.0012 0.0000 0.0000
0.0000 7.0012 0.0000
3.5006 3.5006 2.5754
Zn Cr Hf
2 4 2
direct
0.5000 0.5000 0.0000 Zn
0.2500 0.7500 0.5000 Zn
0.5999 0.1250 0.2500 Cr
0.1501 0.6250 0.2500 Cr
0.3750 0.4001 0.7500 Cr
0.8750 0.8499 0.7500 Cr
0.0000 0.0000 0.0000 Hf
0.7500 0.2500 0.5000 Hf
```



Entry 8:
DFT (PBE-GGA) results for a relaxed Ga8Ni3Au2 crystal.

DFT total energy: -51.535 eV per cell
Formation energy from the elements: -0.26 eV/atom

Geometry as POSCAR:
```
Ga8Ni3Au2
1.0
-2.4252 3.0265 -1.0941
-6.1869 -5.0654 -0.2978
1.7739 3.7746 6.5095
Ga Ni Au
8 3 2
direct
0.0000 0.6042 0.2081 Ga
0.5000 0.1421 0.7762 Ga
0.5000 0.8579 0.2238 Ga
0.5000 0.6336 0.7744 Ga
0.0000 0.1225 0.2460 Ga
0.5000 0.3664 0.2256 Ga
0.0000 0.8775 0.7540 Ga
0.0000 0.3958 0.7919 Ga
0.0000 0.2366 0.0009 Ni
0.5000 0.0000 0.0000 Ni
0.0000 0.7634 0.9991 Ni
0.5000 0.2557 0.5125 Au
0.5000 0.7443 0.4875 Au
```



Entry 9:
DFT (PBE-GGA) results for a relaxed HgRuPt3 crystal.

DFT total energy: -21.719 eV per cell
Formation energy from the elements: 1.20 eV/atom

Geometry as POSCAR:
```
HgRuPt3
1.0
4.8235 0.0000 0.0000
0.0000 4.8235 0.0000
0.0000 0.0000 4.8235
Hg Ru Pt
1 1 3
direct
0.5000 0.5000 0.5000 Hg
0.0000 0.0000 0.0000 Ru
0.0000 0.5000 0.0000 Pt
0.5000 0.0000 0.0000 Pt
0.0000 0.0000 0.5000 Pt
```



Entry 10:
DFT (PBE-GGA) results for a relaxed LiAgTe2 crystal.

DFT total energy: -12.210 eV per cell
Formation energy (no corrections): -0.290 eV/atom

Geometry as POSCAR:
```
LiAgTe2
1.0
3.7223 0.0000 0.0000
0.0000 6.6123 -0.0265
0.0000 4.3828 3.8892
Ag Te Li
1 2 1
direct
0.5000 0.5000 0.5000 Ag
0.0000 0.0000 0.0000 Te
0.5000 0.5000 0.0000 Te
0.0000 0.0000 0.5000 Li
```



Entry 11:
DFT (PBE-GGA) results for a relaxed Nd4TmTl5 crystal.

DFT total energy: -39.122 eV per cell
Formation energy from the elements: -0.37 eV/atom

Geometry as POSCAR:
```
Nd4TmTl5
1.0
3.8133 0.0000 0.0000
0.0000 3.8133 0.0000
0.0000 0.0000 20.0144
Nd Tm Tl
4 1 5
direct
0.0000 0.0000 0.8072 Nd
0.0000 0.0000 0.6024 Nd
0.0000 0.0000 0.3976 Nd
0.0000 0.0000 0.1928 Nd
0.0000 0.0000 0.0000 Tm
0.5000 0.5000 0.5000 Tl
0.5000 0.5000 0.0901 Tl
0.5000 0.5000 0.7054 Tl
0.5000 0.5000 0.9099 Tl
0.5000 0.5000 0.2946 Tl
```



Entry 12:
DFT (PBE-GGA) results for a relaxed SmDy5Tm2Th crystal.

DFT total energy: -85.252 eV per cell
Formation energy from the elements: 0.16 eV/atom

Geometry as POSCAR:
```
SmDy5Tm2Th
1.0
5.6924 0.0000 0.0000
-2.8462 10.7088 0.0000
0.0000 0.0000 9.6890
Tm Dy Th Sm
4 10 2 2
direct
0.1165 0.2330 0.3329 Tm
0.8835 0.7670 0.8329 Tm
0.1278 0.2557 0.7133 Tm
0.8722 0.7443 0.2133 Tm
0.3993 0.7985 0.0414 Dy
0.2731 0.5462 0.3214 Dy
0.7269 0.4538 0.8214 Dy
0.6959 0.3917 0.2144 Dy
0.4678 0.9357 0.7412 Dy
0.0141 0.0281 0.0194 Dy
0.9859 0.9719 0.5194 Dy
0.6007 0.2015 0.5414 Dy
0.5322 0.0643 0.2412 Dy
0.3041 0.6083 0.7144 Dy
0.4072 0.8143 0.4209 Th
0.5928 0.1857 0.9209 Th
0.1895 0.3791 0.0189 Sm
0.8105 0.6209 0.5189 Sm
```